No. 1
The following is a DFT calculation (PBE) of an optimized crystal structure of Dy2Ga4Cu3Ni.

Summary:
As for the symmetry: P-4m2 (115). As for the energy of formation: -0.46 eV/atom.

Cell: 4.101 4.101 10.115 Å, 90.00 90.00 90.00°
Positions (direct):
Dy 0.000 0.500 0.243
Dy 0.500 0.000 0.757
Ga 0.000 0.000 0.500
Ga 0.000 0.500 0.874
Ga 0.500 0.000 0.126
Ga 0.500 0.500 0.500
Cu 0.000 0.000 0.000
Cu 0.000 0.500 0.638
Cu 0.500 0.000 0.362
Ni 0.500 0.500 0.000



No. 2
The following is a DFT calculation (PBE) of an optimized crystal structure of IrW.

Summary:
As for the symmetry: Pmmn (59). As for the energy above the most stable polymorph in this dataset: 1362.4 meV per atom. As for the energy of formation: 1.06 eV/atom.

Cell: 4.064 10.697 6.744 Å, 90.00 90.00 90.00°
Positions (direct):
Ir 0.250 0.121 0.146
Ir 0.250 0.379 0.146
Ir 0.250 0.750 0.351
Ir 0.750 0.250 0.649
Ir 0.750 0.621 0.854
Ir 0.750 0.879 0.854
W 0.250 0.250 0.455
W 0.250 0.605 0.061
W 0.250 0.895 0.061
W 0.750 0.105 0.939
W 0.750 0.395 0.939
W 0.750 0.750 0.545



No. 3
The following is a DFT calculation (PBE) of an optimized crystal structure of Ce6FeRuPb2.

Summary:
As for the symmetry: I4/mmm (139). As for the energy of formation: -0.29 eV/atom.

Cell: 7.345 7.345 7.345 Å, 119.26 119.26 91.29°
Positions (direct):
Ce 0.237 0.237 0.000
Ce 0.247 0.247 0.494
Ce 0.247 0.753 0.000
Ce 0.753 0.247 0.000
Ce 0.753 0.753 0.506
Ce 0.763 0.763 0.000
Fe 0.000 0.000 0.000
Ru 0.500 0.500 0.000
Pb 0.250 0.750 0.500
Pb 0.750 0.250 0.500



No. 4
The following is a DFT calculation (PBE) of an optimized crystal structure of AlCoOs.

Summary:
As for the symmetry: Fmm2 (42). As for the energy above the most stable polymorph in this dataset: 249.1 meV per atom. As for the energy of formation: 0.08 eV/atom.

Cell: 6.506 6.285 2.657 Å, 82.72 73.39 23.89°
Positions (direct):
Al 0.000 0.000 0.000
Co 0.345 0.345 0.655
Os 0.675 0.675 0.325



No. 5
The following is a DFT calculation (PBE) of an optimized crystal structure of ScCd3Sb.

Summary:
Its formation energy from raw total energies is 0.6979 eV/atom. As for the symmetry: Pm-3m (221). As for the energy above the most stable polymorph in this dataset: 71.6 meV per atom.

Cell: 5.490 5.490 5.490 Å, 90.00 90.00 90.00°
Positions (direct):
Sc 0.000 0.000 0.000
Cd 0.000 0.000 0.500
Cd 0.000 0.500 0.000
Cd 0.500 0.000 0.000
Sb 0.500 0.500 0.500



No. 6
The following is a DFT calculation (PBE) of an optimized crystal structure of ZnTeAs2.

Summary:
Its formation energy from raw total energies is 0.3925 eV/atom. As for the symmetry: Cmmm (65). As for the energy above the most stable polymorph in this dataset: 505.8 meV per atom.

Cell: 4.798 4.798 3.808 Å, 90.00 90.00 102.02°
Positions (direct):
Zn 0.000 0.000 0.000
Te 0.500 0.500 0.000
As 0.000 0.500 0.500
As 0.500 0.000 0.500